Compound: K2IrCl
Source: Alexandria
Functional: PBE
Structure: optimized geometry

V (Å³ per cell): 139.4
Relative energy among the computed polymorphs (meV per atom): 358
Formation energy without anion corrections (eV/atom): 0.2198
Symmetry: I-4m2 (119)

a = 7.3981 Å, b = 7.3981 Å, c = 7.3981 Å
α = 143.95°, β = 143.95°, γ = 51.90°
Each line ends with the local moment (μB).
Sites, in units of the cell vectors:
Ir 0.7500 0.2500 0.5000  1.82
K 0.2500 0.7500 0.5000  -0.01
K 0.0000 0.0000 0.0000  0.00
Cl 0.5000 0.5000 0.0000  0.02